Entry 1:
Density functional theory data (PBE) for an optimized crystal structure of Y2ReIr.

Geometry as extended XYZ:
```
8
Lattice="7.7028 0.0000 0.0000 0.0000 7.7028 0.0000 3.8514 3.8514 2.8930" Properties=species:S:1:pos:R:3 pbc="T T T"
Y 5.8868 1.9257 0.7232
Y 1.8159 5.7771 0.7232
Y 5.7771 5.6673 2.1697
Y 9.6285 9.7382 2.1697
Re 3.8514 3.8514 0.0000
Re 3.8514 7.7028 1.4465
Ir 0.0000 0.0000 0.0000
Ir 7.7028 3.8514 1.4465
```

Calculated values
**Space-group type**: I-42d, No. 122
**E_form**: 0.4016 eV per atom
**Magnetic moment**: 0.000 μB per atom
**E_tot**: -0.2998 Ha/atom

Entry 2:
Density functional theory data (PBE) for an optimized crystal structure of YReIr2.

Geometry as extended XYZ:
```
4
Lattice="3.2770 0.0000 0.0000 0.0000 3.2770 0.0000 0.0000 0.0000 6.7051" Properties=species:S:1:pos:R:3 pbc="T T T"
Ir 0.0000 0.0000 0.2026
Ir 1.6385 1.6385 1.8132
Re 0.0000 0.0000 2.9474
Y 1.6385 1.6385 5.0944
```

Calculated values
**Energy relative to the lowest polymorph listed for this composition**: 1.313 eV per formula unit
**Space-group type**: P4mm, No. 99
**E_form**: 0.0844 eV per atom
**Magnetic moment**: 0.000 μB per atom
**E_tot**: -0.3335 Ha/atom

Entry 3:
Density functional theory data (PBE) for an optimized crystal structure of Y2ReIr.

Geometry as extended XYZ:
```
4
Lattice="10.1790 0.0309 0.0181 9.6937 3.1058 0.0181 9.6937 1.5300 2.7029" Properties=species:S:1:pos:R:3 pbc="T T T"
Ir 14.5225 2.2922 1.3454
Re 22.4415 3.5422 2.0790
Y 0.3384 0.0534 0.0313
Y 7.0472 1.1123 0.6529
```

Calculated values
**Space-group type**: R3m, No. 160
**E_form**: 0.4642 eV per atom
**Magnetic moment**: 0.000 μB per atom
**E_tot**: -0.2975 Ha/atom

Entry 4:
Density functional theory data (PBE) for an optimized crystal structure of Y2ReIr.

Geometry as extended XYZ:
```
4
Lattice="-0.8114 -2.9244 0.4558 1.5377 -0.8203 -2.5260 7.4902 -1.3017 4.9826" Properties=species:S:1:pos:R:3 pbc="T T T"
Ir 4.0414 -0.7024 2.6884
Re 5.6833 -2.7969 2.5039
Y 7.1023 -1.2343 4.7246
Y 2.6248 -2.2654 0.4694
```

Calculated values
**Space-group type**: P4mm, No. 99
**E_form**: 0.0109 eV per atom
**Magnetic moment**: 0.000 μB per atom
**E_tot**: -0.3141 Ha/atom

- The highest E_form belongs to which entry?
  number 3